DFT (GGA-PBE) results for an optimized crystal structure of Ta2Nb4Os.

Properties
* formation energy: 43.34 kJ per mole of atoms
* final energy: -10.296 eV/atom
* energy relative to the lowest polymorph listed for this composition: 0.3996 eV per atom

Unit cell a=3.0873 b=18.9542 c=4.4095 alpha=90.00 beta=90.00 gamma=90.00
Closest atoms and distances in Å follow each position.
Space group Cmmm (No. 65)
Symmetry-distinct sites (fractional):
Ta (0.0000, 0.0662, 0.0000) (multiplicity 4)  1 Ta 2.51, 2 Nb 2.79
Nb (0.0000, 0.1753, 0.5000) (multiplicity 4)  4 Nb 2.70, 2 Ta 3.02
Nb (0.0000, 0.3109, 0.0000) (multiplicity 4)  6 Nb 2.70-2.78, 2 Ta 2.79
Os (0.0000, 0.5000, 0.5000) (multiplicity 2)  8 Ta 2.97, 2 Os 3.09